A plane-wave DFT calculation with PBE+U was carried out for InMoClO4 after structural relaxation.

abc: 5.9477 5.9477 9.4772
angles: 112.87 112.87 74.47
Sites, in units of the cell vectors:
In (0.0396, 0.0396, 0.2150)
In (0.9604, 0.9604, 0.7850)
Mo (0.3095, 0.3095, 0.6736)
Mo (0.6905, 0.6905, 0.3264)
Cl (0.2045, 0.2045, 0.0677)
Cl (0.7955, 0.7955, 0.9323)
O (0.1346, 0.1346, 0.6996)
O (0.2308, 0.6334, 0.7654)
O (0.2435, 0.2435, 0.4609)
O (0.3666, 0.7692, 0.2346)
O (0.6334, 0.2308, 0.7654)
O (0.7565, 0.7565, 0.5391)
O (0.7692, 0.3666, 0.2346)
O (0.8654, 0.8654, 0.3004)

Results
The space group is C2/m (12). Its total energy is -83.987 eV per cell.